Sm2Y3PuSe6: relaxed, PBE-GGA.

The density of states at the Fermi level comes out at 19.289 states/eV/cell. The calculation puts the formation energy from raw total energies at -1.764 eV per atom.

a = 18.0024 Å, b = 4.1016 Å, c = 8.2925 Å
α = 90.00°, β = 103.61°, γ = 90.00°
Space group C2/m (No. 12)
Symmetry-distinct sites (fractional):
Sm  0.1650  0.0000  0.3306 (multiplicity 4)
Y  0.0000  0.5000  0.5000 (multiplicity 2)
Y  0.1667  0.0000  0.8356 (multiplicity 4)
Pu  0.0000  0.5000  0.0000 (multiplicity 2)
Se  0.0022  0.0000  0.7479 (multiplicity 4)
Se  0.1656  0.5000  0.5879 (multiplicity 4)
Se  0.1678  0.5000  0.0791 (multiplicity 4)


Sm2YPu3Se6: relaxed, PBE-GGA.

The density of states at the Fermi level comes out at 54.218 states/eV/cell. The calculation puts the formation energy from raw total energies at -1.690 eV per atom.

a = 18.0956 Å, b = 4.1309 Å, c = 8.3108 Å
α = 90.00°, β = 103.73°, γ = 90.00°
Space group C2/m (No. 12)
Symmetry-distinct sites (fractional):
Sm  0.1669  0.0000  0.3342 (multiplicity 4)
Y  0.0000  0.5000  0.0000 (multiplicity 2)
Pu  0.0000  0.5000  0.5000 (multiplicity 2)
Pu  0.1677  0.0000  0.8334 (multiplicity 4)
Se  0.0011  0.0000  0.7538 (multiplicity 4)
Se  0.1651  0.5000  0.0805 (multiplicity 4)
Se  0.1658  0.5000  0.5853 (multiplicity 4)


SmY3Pu2Se6: relaxed, PBE-GGA.

The density of states at the Fermi level comes out at 37.585 states/eV/cell. The calculation puts the formation energy from raw total energies at -1.722 eV per atom.

a = 7.1113 Å, b = 12.3301 Å, c = 7.1715 Å
α = 90.00°, β = 109.33°, γ = 90.00°
Space group C2/m (No. 12)
Symmetry-distinct sites (fractional):
Sm  0.0000  0.0000  0.0000 (multiplicity 2)
Y  0.0000  0.1658  0.5000 (multiplicity 4)
Y  0.0000  0.5000  0.5000 (multiplicity 2)
Pu  0.0000  0.3332  0.0000 (multiplicity 4)
Se  0.2470  0.3322  0.7446 (multiplicity 8)
Se  0.2494  0.5000  0.2556 (multiplicity 4)